Below is a relaxed structure of BeTl2CoF6, with properties calculated at the PBE with a Hubbard U level.

Results
Total magnetization in μB per atom: 0.302
Calculated total energy in eV for the cell shown: -46.6

The structure in POSCAR format:
```
BeTl2CoF6
1.0
-3.3129 4.2571 1.0425
-4.3448 -3.0106 -1.4979
-4.3511 -0.8846 4.2987
Be Tl Co F
1 2 1 6
Direct
0.5000 0.5000 0.0000 Be
0.7502 0.2499 0.5000 Tl
0.2499 0.7501 0.5000 Tl
0.0000 0.0000 0.0000 Co
0.2042 0.2041 0.5877 F
0.7086 0.7086 0.9961 F
0.2730 0.7269 0.0000 F
0.7270 0.2731 0.0000 F
0.2914 0.2914 0.0039 F
0.7958 0.7959 0.4123 F
```